(1)
# Mg2As2Rh

A geometry-optimized Mg2As2Rh structure (PBE, the Alexandria database).

Lattice parameters (Å, degrees): 6.552 6.552 4.254 90.00 90.00 90.00
Atoms (fractional coordinates):
As 0.358 0.858 0.000
As 0.858 0.642 0.000
As 0.642 0.142 0.000
As 0.142 0.358 0.000
Rh 0.000 0.000 0.000
Rh 0.500 0.500 0.000
Mg 0.175 0.675 0.500
Mg 0.675 0.825 0.500
Mg 0.825 0.325 0.500
Mg 0.325 0.175 0.500

Results
As for the energy relative to the elements: -37.2 kJ/mol of atoms. The density of states at the Fermi level comes out at 6.5 states/eV/cell. Its space group is P4/mbm. For the energy above the lowest structure with this stoichiometry, the calculation gives 0 meV/atom.

***

(2)
# MgAs2Rh

A geometry-optimized MgAs2Rh structure (PBE, the Alexandria database).

Lattice parameters (Å, degrees): 3.025 3.025 7.935 90.00 90.00 90.00
Atoms (fractional coordinates):
As 0.000 0.000 0.934
As 0.500 0.500 0.279
Mg 0.000 0.000 0.525
Rh 0.500 0.500 0.762

Results
As for the energy relative to the elements: -26.7 kJ/mol of atoms. The density of states at the Fermi level comes out at 2.4 states/eV/cell. Its space group is P4mm.